NaInPb: optimized geometry, GGA-PBE.

Output
Total magnetic moment (μB per formula unit): 0.0
Energy of formation (eV per atom): -0.103

abc: 11.286 4.687 7.029
angles: 90.00 112.11 90.00
Space group C2/m (No. 12)
One atom of each set of equivalent atoms:
Na1 0.169 0.000 0.088 (multiplicity 4)
In1 0.165 0.000 0.589 (multiplicity 4)
Pb1 0.011 0.500 0.271 (multiplicity 4)